(1)
The following is a PBE-GGA calculation of a geometry-optimized Li2SbAu structure, from OQMD.

It has space group P-4m2 (No. 115), with a = 4.650 Å, b = 4.650 Å, c = 6.563 Å, α = 90.00°, β = 90.00° and γ = 90.00°. The distinct sites, in fractional coordinates, are Li at (0.000, 0.000, 0.000), Li at (0.000, 0.500, 0.247), Li at (0.500, 0.500, 0.500), Sb at (0.000, 0.500, 0.750), Au at (0.000, 0.000, 0.500) and Au at (0.500, 0.500, 0.000).

The calculation puts the electronic total energy at -3.342 eV/atom.

(2)
The following is a PBE-GGA calculation of a geometry-optimized LiSb2Au structure, from OQMD.

It has space group F-43m (No. 216), with a = 7.163 Å, b = 7.163 Å, c = 7.163 Å, α = 90.00°, β = 90.00° and γ = 90.00°. The distinct sites, in fractional coordinates, are Li at (0.000, 0.000, 0.000), Sb at (0.000, 0.000, 0.500), Sb at (0.250, 0.250, 0.750) and Au at (0.250, 0.250, 0.250).

The calculation puts the electronic total energy at -3.421 eV/atom. The excess energy over the best structure of this formula in the dataset is 0.149 eV/atom.

(3)
The following is a PBE-GGA calculation of a geometry-optimized LiScSbAu structure, from OQMD.

It has space group F-43m (No. 216), with a = 6.832 Å, b = 6.832 Å, c = 6.832 Å, α = 90.00°, β = 90.00° and γ = 90.00°. The distinct sites, in fractional coordinates, are Li at (0.000, 0.000, 0.000), Sc at (0.250, 0.250, 0.750), Sb at (0.250, 0.250, 0.250) and Au at (0.000, 0.000, 0.500).

The calculation puts the electronic total energy at -4.293 eV/atom. The excess energy over the best structure of this formula in the dataset is 0.299 eV/atom.

(4)
The following is a PBE-GGA calculation of a geometry-optimized LiScSbAu structure, from OQMD.

It has space group F-43m (No. 216), with a = 6.829 Å, b = 6.829 Å, c = 6.829 Å, α = 90.00°, β = 90.00° and γ = 90.00°. The distinct sites, in fractional coordinates, are Li at (0.000, 0.000, 0.000), Sc at (0.000, 0.000, 0.500), Sb at (0.250, 0.250, 0.250) and Au at (0.250, 0.250, 0.750).

The calculation puts the electronic total energy at -4.593 eV/atom. The excess energy over the best structure of this formula in the dataset is 0.000 eV/atom.

(5)
The following is a PBE-GGA calculation of a geometry-optimized LiScSbAu structure, from OQMD.

It has space group F-43m (No. 216), with a = 6.815 Å, b = 6.815 Å, c = 6.815 Å, α = 90.00°, β = 90.00° and γ = 90.00°. The distinct sites, in fractional coordinates, are Li at (0.000, 0.000, 0.000), Sc at (0.250, 0.250, 0.250), Sb at (0.000, 0.000, 0.500) and Au at (0.250, 0.250, 0.750).

The calculation puts the electronic total energy at -4.242 eV/atom. The excess energy over the best structure of this formula in the dataset is 0.350 eV/atom.

(6)
The following is a PBE-GGA calculation of a geometry-optimized Li4SnSbAu2 structure, from OQMD.

It has space group P-4m2 (No. 115), with a = 4.603 Å, b = 4.603 Å, c = 6.568 Å, α = 90.00°, β = 90.00° and γ = 90.00°. The distinct sites, in fractional coordinates, are Li at (0.000, 0.000, 0.000), Li at (0.000, 0.500, 0.749), Li at (0.500, 0.500, 0.500), Sn at (0.000, 0.000, 0.500), Sb at (0.500, 0.500, 0.000) and Au at (0.000, 0.500, 0.258).

The calculation puts the electronic total energy at -3.331 eV/atom.

(7)
The following is a PBE-GGA calculation of a geometry-optimized Li4TlSbAu2 structure, from OQMD.

It has space group P-4m2 (No. 115), with a = 4.565 Å, b = 4.565 Å, c = 6.789 Å, α = 90.00°, β = 90.00° and γ = 90.00°. The distinct sites, in fractional coordinates, are Li at (0.000, 0.000, 0.000), Li at (0.000, 0.500, 0.750), Li at (0.500, 0.500, 0.500), Tl at (0.000, 0.000, 0.500), Sb at (0.500, 0.500, 0.000) and Au at (0.000, 0.500, 0.245).

The calculation puts the electronic total energy at -3.047 eV/atom.

(8)
The following is a PBE-GGA calculation of a geometry-optimized Li4ZnSbAu2 structure, from OQMD.

It has space group P-4m2 (No. 115), with a = 4.428 Å, b = 4.428 Å, c = 6.611 Å, α = 90.00°, β = 90.00° and γ = 90.00°. The distinct sites, in fractional coordinates, are Li at (0.000, 0.000, 0.000), Li at (0.000, 0.500, 0.727), Li at (0.500, 0.500, 0.500), Zn at (0.000, 0.000, 0.500), Sb at (0.500, 0.500, 0.000) and Au at (0.000, 0.500, 0.275).

The calculation puts the electronic total energy at -2.958 eV/atom.